Er5In2Co2Ru | GGA-PBE | relaxed

**E_form**: -317 meV per atom

abc: 11.3410 11.3410 3.4146
angles: 90.00 90.00 90.00
Closest atoms and distances in Å follow each position.
Fractional coordinates of all 20 atoms:
Er  0.0000  0.5000  0.0000  4 Co 2.77
Er  0.0655  0.1987  0.0000  2 Co 2.66, 2 Ru 2.92
Er  0.1987  0.9345  0.0000  2 Co 2.66, 2 Ru 2.92
Er  0.3013  0.4345  0.0000  2 Co 2.66, 2 Ru 2.92
Er  0.4345  0.6987  0.0000  2 Co 2.66, 2 Ru 2.92
Er  0.5000  0.0000  0.0000  4 Co 2.77
Er  0.5655  0.3013  0.0000  2 Co 2.66, 2 Ru 2.92
Er  0.6987  0.5655  0.0000  2 Co 2.66, 2 Ru 2.92
Er  0.8013  0.0655  0.0000  2 Co 2.66, 2 Ru 2.92
Er  0.9345  0.8013  0.0000  2 Co 2.66, 2 Ru 2.92
In  0.1796  0.6796  0.5000  1 Co 2.96
In  0.3204  0.1796  0.5000  1 Co 2.96
In  0.6796  0.8204  0.5000  1 Co 2.96
In  0.8204  0.3204  0.5000  1 Co 2.96
Co  0.1357  0.3643  0.5000  6 Er 2.66-2.77, 1 In 2.96
Co  0.3643  0.8643  0.5000  6 Er 2.66-2.77, 1 In 2.96
Co  0.6357  0.1357  0.5000  6 Er 2.66-2.77, 1 In 2.96
Co  0.8643  0.6357  0.5000  6 Er 2.66-2.77, 1 In 2.96
Ru  0.0000  0.0000  0.5000  8 Er 2.92
Ru  0.5000  0.5000  0.5000  8 Er 2.92